A plane-wave DFT calculation with PBE was carried out for a relaxed structure of Ba2Li15Ca2.

Cell lengths 8.1618, 8.1618, 8.1618 Å; angles 82.74, 82.74, 82.74 degrees
With the nearest neighbours (Å) after each atom.
Fractional positions:
Ba  0.1455  0.1455  0.1455  15 Li 3.75-4.16, 1 Ca 3.90
Ba  0.8545  0.8545  0.8545  15 Li 3.75-4.16, 1 Ca 3.90
Li  0.0000  0.5000  0.5000  8 Li 3.10-3.12, 2 Ca 3.25
Li  0.1531  0.1531  0.6528  8 Li 3.12-3.29, 1 Ca 3.32
Li  0.1531  0.6528  0.1531  8 Li 3.12-3.29, 1 Ca 3.32
Li  0.2053  0.5000  0.7947  8 Li 3.10-3.29
Li  0.2053  0.7947  0.5000  8 Li 3.10-3.29
Li  0.3472  0.8469  0.8469  8 Li 3.12-3.29, 1 Ca 3.32
Li  0.5000  0.0000  0.5000  8 Li 3.10-3.12, 2 Ca 3.25
Li  0.5000  0.2053  0.7947  8 Li 3.10-3.29
Li  0.5000  0.5000  0.0000  8 Li 3.10-3.12, 2 Ca 3.25
Li  0.5000  0.7947  0.2053  8 Li 3.10-3.29
Li  0.6528  0.1531  0.1531  8 Li 3.12-3.29, 1 Ca 3.32
Li  0.7947  0.2053  0.5000  8 Li 3.10-3.29
Li  0.7947  0.5000  0.2053  8 Li 3.10-3.29
Li  0.8469  0.3472  0.8469  8 Li 3.12-3.29, 1 Ca 3.32
Li  0.8469  0.8469  0.3472  8 Li 3.12-3.29, 1 Ca 3.32
Ca  0.3922  0.3922  0.3922  12 Li 3.25-3.61, 1 Ca 3.41
Ca  0.6078  0.6078  0.6078  12 Li 3.25-3.61, 1 Ca 3.41

ΔH_f (0 K) ... 35 meV per atom
N(E_F) ... 0.6931 states/eV per atom
E_tot ... -35.9 eV for the cell shown
V ... 27.98 A^3/atom